A relaxed Er6Pb3Se2S crystal, computed with PBE.

## Properties
Its space group is No. 12. Its formation energy without anion corrections is -104.42 kJ per mole of atoms. The energy is -5.215 eV/atom. The value obtained for the spin magnetization is 0.000 μB/f.u.

a b c (Å): 6.7584 6.7584 8.1312
angles (deg): 98.02 98.02 119.77
With the nearest neighbours (Å) after each atom.
Positions (direct):
Er 0.0669 0.3901 0.2043  1 S 2.70, 2 Se 2.80-2.81
Er 0.2464 0.2464 0.7845  1 S 2.74, 2 Se 2.83
Er 0.3901 0.0669 0.2043  1 S 2.70, 2 Se 2.80-2.81
Er 0.6099 0.9331 0.7957  1 S 2.70, 2 Se 2.80-2.81
Er 0.7536 0.7536 0.2155  1 S 2.74, 2 Se 2.83
Er 0.9331 0.6099 0.7957  1 S 2.70, 2 Se 2.80-2.81
Pb 0.1806 0.8194 0.5000  6 Er 3.18-3.23
Pb 0.5000 0.5000 0.5000  6 Er 3.21-3.24
Pb 0.8194 0.1806 0.5000  6 Er 3.18-3.23
Se 0.3365 0.6635 0.0000  6 Er 2.80-2.83
Se 0.6635 0.3365 0.0000  6 Er 2.80-2.83
S 0.0000 0.0000 0.0000  6 Er 2.70-2.74